Entry from the Alexandria database: a PBEsol-optimized structure of TcHgBr2 (SCAN).

Summary:
- M_tot (Bohr magnetons per cell) = 1.3
- final energy (eV per cell) = -141.99
- raw formation energy (eV/atom) = 0.04
- E above lowest polymorph (kJ per mole of atoms) = 4.0

The structure in POSCAR format:
```
TcHgBr2
1.0
3.2077 0.0000 0.0000
0.0000 4.4920 -0.0464
0.0000 -2.1725 6.8438
Br Hg Tc
2 1 1
direct
0.5000 0.8395 0.3039
0.0000 0.1562 0.9378
0.0000 0.4864 0.5975
0.5000 0.0179 0.6608
```